Record 1
## KPaMo2N6 (PBE-GGA)

Data for a relaxed KPaMo2N6 crystal.

The structure in CIF format:
```
data_KPaMo2N6
_space_group_name_H-M_alt 'C 1 2/c 1'
_space_group_IT_number 15
_cell_length_a 11.1540
_cell_length_b 10.7617
_cell_length_c 6.4346
_cell_angle_alpha 90.00
_cell_angle_beta 109.46
_cell_angle_gamma 90.00
loop_
_space_group_symop_operation_xyz
'x,y,z'
'-x,-y,-z'
'-x,y,-z+1/2'
'x,-y,z+1/2'
'x+1/2,y+1/2,z'
'-x+1/2,-y+1/2,-z'
'-x+1/2,y+1/2,-z+1/2'
'x+1/2,-y+1/2,z+1/2'
loop_
_atom_site_label
_atom_site_fract_x
_atom_site_fract_y
_atom_site_fract_z
K1 0.0000 0.0902 0.2500
Pa1 0.0000 0.2885 0.7500
Mo1 0.2045 0.4208 0.1657
N1 0.0939 0.2932 0.1090
N2 0.1342 0.1381 0.7153
N3 0.1589 0.4559 0.8542
```

Results
* theoretical density: 4.980 g/cm³
* raw formation energy: -0.595 eV per atom
* crystal system: monoclinic

Record 2
## KPaMoN3 (PBE-GGA)

Data for a relaxed KPaMoN3 crystal.

The structure in CIF format:
```
data_KPaMoN3
_space_group_name_H-M_alt 'P 1 21/m 1'
_space_group_IT_number 11
_cell_length_a 7.2867
_cell_length_b 3.5688
_cell_length_c 9.3956
_cell_angle_alpha 90.00
_cell_angle_beta 105.14
_cell_angle_gamma 90.00
loop_
_space_group_symop_operation_xyz
'x,y,z'
'-x,-y,-z'
'-x,y+1/2,-z'
'x,-y+1/2,z'
loop_
_atom_site_label
_atom_site_fract_x
_atom_site_fract_y
_atom_site_fract_z
K1 0.2300 0.2500 0.2440
Pa1 0.3424 0.2500 0.8551
Mo1 0.1279 0.7500 0.5708
N1 0.0483 0.2500 0.6493
N2 0.3492 0.7500 0.0069
N3 0.3777 0.7500 0.7108
```

Results
* theoretical density: 5.746 g/cm³
* raw formation energy: -0.799 eV per atom
* crystal system: monoclinic

Record 3
## K2PuMoN4 (PBE-GGA)

Data for a relaxed K2PuMoN4 crystal.

The structure in CIF format:
```
data_K2PuMoN4
_space_group_name_H-M_alt 'P m n 21'
_space_group_IT_number 31
_cell_length_a 7.2018
_cell_length_b 7.2973
_cell_length_c 6.1096
_cell_angle_alpha 90.00
_cell_angle_beta 90.00
_cell_angle_gamma 90.00
loop_
_space_group_symop_operation_xyz
'x,y,z'
'-x+1/2,-y,z+1/2'
'-x,y,z'
'x+1/2,-y,z+1/2'
loop_
_atom_site_label
_atom_site_fract_x
_atom_site_fract_y
_atom_site_fract_z
K1 0.2485 0.1701 0.0000
Pu1 0.0000 0.6521 0.9874
Mo1 0.0000 0.3497 0.4787
N1 0.0000 0.4081 0.1828
N2 0.0000 0.5633 0.6527
N3 0.2231 0.2172 0.5298
```

Results
* theoretical density: 4.905 g/cm³
* raw formation energy: -0.483 eV per atom
* crystal system: orthorhombic

Record 4
## KPuMoN3 (PBE-GGA)

Data for a relaxed KPuMoN3 crystal.

The structure in CIF format:
```
data_KPuMoN3
_space_group_name_H-M_alt 'C 1 2/m 1'
_space_group_IT_number 12
_cell_length_a 16.2334
_cell_length_b 3.5424
_cell_length_c 7.5671
_cell_angle_alpha 90.00
_cell_angle_beta 105.52
_cell_angle_gamma 90.00
loop_
_space_group_symop_operation_xyz
'x,y,z'
'-x,-y,-z'
'-x,y,-z'
'x,-y,z'
'x+1/2,y+1/2,z'
'-x+1/2,-y+1/2,-z'
'-x+1/2,y+1/2,-z'
'x+1/2,-y+1/2,z'
loop_
_atom_site_label
_atom_site_fract_x
_atom_site_fract_y
_atom_site_fract_z
K1 0.1475 0.0000 0.0633
Pu1 0.1641 0.0000 0.5336
Mo1 0.0186 0.5000 0.6773
N1 0.0261 0.0000 0.2894
N2 0.1368 0.5000 0.7375
N3 0.1968 0.5000 0.3883
```

Results
* theoretical density: 6.670 g/cm³
* raw formation energy: -0.587 eV per atom
* crystal system: monoclinic

Record 5
## KPuMo2N6 (PBE-GGA)

Data for a relaxed KPuMo2N6 crystal.

The structure in CIF format:
```
data_KPuMo2N6
_space_group_name_H-M_alt 'C 1 2/c 1'
_space_group_IT_number 15
_cell_length_a 10.9988
_cell_length_b 10.8542
_cell_length_c 6.4266
_cell_angle_alpha 90.00
_cell_angle_beta 109.24
_cell_angle_gamma 90.00
loop_
_space_group_symop_operation_xyz
'x,y,z'
'-x,-y,-z'
'-x,y,-z+1/2'
'x,-y,z+1/2'
'x+1/2,y+1/2,z'
'-x+1/2,-y+1/2,-z'
'-x+1/2,y+1/2,-z+1/2'
'x+1/2,-y+1/2,z+1/2'
loop_
_atom_site_label
_atom_site_fract_x
_atom_site_fract_y
_atom_site_fract_z
K1 0.0000 0.0929 0.2500
Pu1 0.0000 0.2895 0.7500
Mo1 0.2013 0.4221 0.1548
N1 0.0834 0.2938 0.0859
N2 0.1388 0.1373 0.7257
N3 0.1608 0.4557 0.8451
```

Results
* theoretical density: 5.126 g/cm³
* raw formation energy: -0.358 eV per atom
* crystal system: monoclinic

Record 6
## KRbMoN3 (PBE-GGA)

Data for a relaxed KRbMoN3 crystal.

The structure in CIF format:
```
data_KRbMoN3
_space_group_name_H-M_alt 'C 1 2/c 1'
_space_group_IT_number 15
_cell_length_a 6.8218
_cell_length_b 13.0785
_cell_length_c 5.5823
_cell_angle_alpha 90.00
_cell_angle_beta 99.84
_cell_angle_gamma 90.00
loop_
_space_group_symop_operation_xyz
'x,y,z'
'-x,-y,-z'
'-x,y,-z+1/2'
'x,-y,z+1/2'
'x+1/2,y+1/2,z'
'-x+1/2,-y+1/2,-z'
'-x+1/2,y+1/2,-z+1/2'
'x+1/2,-y+1/2,z+1/2'
loop_
_atom_site_label
_atom_site_fract_x
_atom_site_fract_y
_atom_site_fract_z
K1 0.0000 0.2261 0.2500
Rb1 0.0000 0.4076 0.7500
Mo1 0.0000 0.0441 0.7500
N1 0.0000 0.1833 0.7500
N2 0.1875 0.0295 0.4958
```

Results
* theoretical density: 3.553 g/cm³
* raw formation energy: -0.036 eV per atom
* crystal system: monoclinic

Record 7
## K2ReMoN4 (PBE-GGA)

Data for a relaxed K2ReMoN4 crystal.

The structure in CIF format:
```
data_K2ReMoN4
_space_group_name_H-M_alt 'P m m n'
_space_group_IT_number 59
_cell_length_a 6.1633
_cell_length_b 6.7081
_cell_length_c 6.8312
_cell_angle_alpha 90.00
_cell_angle_beta 90.00
_cell_angle_gamma 90.00
loop_
_space_group_symop_operation_xyz
'x,y,z'
'-x,-y,-z'
'-x+1/2,-y+1/2,z'
'x+1/2,y+1/2,-z'
'x+1/2,-y,-z'
'-x+1/2,y,z'
'-x,y+1/2,-z'
'x,-y+1/2,z'
loop_
_atom_site_label
_atom_site_fract_x
_atom_site_fract_y
_atom_site_fract_z
K1 0.2500 0.0004 0.2062
Re1 0.2500 0.2500 0.6590
Mo1 0.2500 0.7500 0.6572
N1 0.0049 0.2500 0.4980
N2 0.2500 0.0044 0.7996
```

Results
* theoretical density: 4.896 g/cm³
* raw formation energy: -0.274 eV per atom
* crystal system: orthorhombic

Record 8
## KMoSeN2 (PBE-GGA)

Data for a relaxed KMoSeN2 crystal.

The structure in CIF format:
```
data_KMoSeN2
_space_group_name_H-M_alt 'P 4/m m m'
_space_group_IT_number 123
_space_group_name_Hall '-P 4 2'
_cell_length_a 4.0624
_cell_length_b 4.0624
_cell_length_c 5.1806
_cell_angle_alpha 90.00
_cell_angle_beta 90.00
_cell_angle_gamma 90.00
loop_
_atom_site_label
_atom_site_fract_x
_atom_site_fract_y
_atom_site_fract_z
K1 0.0000 0.0000 0.0000
Mo1 0.5000 0.5000 0.5000
Se1 0.5000 0.5000 0.0000
N1 0.0000 0.5000 0.5000
```

Results
* energy above the most stable polymorph in this dataset: 0.0 meV per atom
* theoretical density: 4.700 g/cm³
* raw formation energy: 0.157 eV per atom
* crystal system: tetragonal

Record 9
## KMoSeN2 (PBE-GGA)

Data for a relaxed KMoSeN2 crystal.

The structure in CIF format:
```
data_KMoSeN2
_space_group_name_H-M_alt 'P 4/m m m'
_space_group_IT_number 123
_space_group_name_Hall '-P 4 2'
_cell_length_a 4.1049
_cell_length_b 4.1049
_cell_length_c 5.4066
_cell_angle_alpha 90.00
_cell_angle_beta 90.00
_cell_angle_gamma 90.00
loop_
_atom_site_label
_atom_site_fract_x
_atom_site_fract_y
_atom_site_fract_z
K1 0.0000 0.0000 0.0000
Mo1 0.5000 0.5000 0.5000
Se1 0.0000 0.0000 0.5000
N1 0.0000 0.5000 0.0000
```

Results
* energy above the most stable polymorph in this dataset: 2846.3 meV per atom
* theoretical density: 4.411 g/cm³
* raw formation energy: 3.003 eV per atom
* crystal system: tetragonal

Record 10
## KSi2MoN (PBE-GGA)

Data for a relaxed KSi2MoN crystal.

The structure in CIF format:
```
data_KSi2MoN
_space_group_name_H-M_alt 'P 4/m m m'
_space_group_IT_number 123
_space_group_name_Hall '-P 4 2'
_cell_length_a 4.0729
_cell_length_b 4.0729
_cell_length_c 4.7462
_cell_angle_alpha 90.00
_cell_angle_beta 90.00
_cell_angle_gamma 90.00
loop_
_atom_site_label
_atom_site_fract_x
_atom_site_fract_y
_atom_site_fract_z
K1 0.0000 0.0000 0.0000
Si1 0.0000 0.5000 0.5000
Mo1 0.5000 0.5000 0.0000
N1 0.0000 0.0000 0.5000
```

Results
* theoretical density: 4.328 g/cm³
* raw formation energy: 1.206 eV per atom
* crystal system: tetragonal

Record 11
## KSmMoN3 (PBE-GGA)

Data for a relaxed KSmMoN3 crystal.

The structure in CIF format:
```
data_KSmMoN3
_space_group_name_H-M_alt 'C 1 2/m 1'
_space_group_IT_number 12
_cell_length_a 13.7702
_cell_length_b 3.9140
_cell_length_c 7.9657
_cell_angle_alpha 90.00
_cell_angle_beta 104.76
_cell_angle_gamma 90.00
loop_
_space_group_symop_operation_xyz
'x,y,z'
'-x,-y,-z'
'-x,y,-z'
'x,-y,z'
'x+1/2,y+1/2,z'
'-x+1/2,-y+1/2,-z'
'-x+1/2,y+1/2,-z'
'x+1/2,-y+1/2,z'
loop_
_atom_site_label
_atom_site_fract_x
_atom_site_fract_y
_atom_site_fract_z
K1 0.1457 0.0000 0.0696
Sm1 0.1624 0.0000 0.5895
Mo1 0.0070 0.5000 0.3222
N1 0.0120 0.0000 0.3454
N2 0.1326 0.5000 0.7882
N3 0.1581 0.5000 0.3613
```

Results
* theoretical density: 5.238 g/cm³
* raw formation energy: -0.525 eV per atom
* crystal system: monoclinic

Record 12
## KSm2Mo2N6 (PBE-GGA)

Data for a relaxed KSm2Mo2N6 crystal.

The structure in CIF format:
```
data_KSm2Mo2N6
_space_group_name_H-M_alt 'P -1'
_space_group_IT_number 2
_cell_length_a 6.4295
_cell_length_b 6.5707
_cell_length_c 6.8201
_cell_angle_alpha 93.34
_cell_angle_beta 117.31
_cell_angle_gamma 115.94
loop_
_space_group_symop_operation_xyz
'x,y,z'
'-x,-y,-z'
loop_
_atom_site_label
_atom_site_fract_x
_atom_site_fract_y
_atom_site_fract_z
K1 0.0000 0.0000 0.0000
Sm1 0.3661 0.6733 0.2919
Mo1 0.2352 0.6830 0.6905
N1 0.1345 0.6725 0.9072
N2 0.2777 0.9120 0.5472
N3 0.4596 0.5798 0.6949
```

Results
* theoretical density: 4.695 g/cm³
* raw formation energy: -0.529 eV per atom
* crystal system: triclinic

What is the formula in the eleventh record? KSmMoN3

Among the records above, which one has the lowest theoretical density? KRbMoN3

Copy entry 2 word for word.
## KPaMoN3 (PBE-GGA)

Data for a relaxed KPaMoN3 crystal.

The structure in CIF format:
```
data_KPaMoN3
_space_group_name_H-M_alt 'P 1 21/m 1'
_space_group_IT_number 11
_cell_length_a 7.2867
_cell_length_b 3.5688
_cell_length_c 9.3956
_cell_angle_alpha 90.00
_cell_angle_beta 105.14
_cell_angle_gamma 90.00
loop_
_space_group_symop_operation_xyz
'x,y,z'
'-x,-y,-z'
'-x,y+1/2,-z'
'x,-y+1/2,z'
loop_
_atom_site_label
_atom_site_fract_x
_atom_site_fract_y
_atom_site_fract_z
K1 0.2300 0.2500 0.2440
Pa1 0.3424 0.2500 0.8551
Mo1 0.1279 0.7500 0.5708
N1 0.0483 0.2500 0.6493
N2 0.3492 0.7500 0.0069
N3 0.3777 0.7500 0.7108
```

Results
* theoretical density: 5.746 g/cm³
* raw formation energy: -0.799 eV per atom
* crystal system: monoclinic